(1)
A plane-wave DFT calculation with GGA-PBE was carried out for a relaxed structure of TbPmDy3.

Summary:
The total energy is -4.594 eV per atom. The relative energy among the computed polymorphs comes out at 14 kJ/mol of formula units.

Cell lengths 3.546, 9.435, 10.960 Å; angles 73.15, 90.00, 112.08 degrees
Fractional positions:
Tb 0.636 0.887 0.652
Pm 0.237 0.486 0.254
Dy 0.063 0.312 0.026
Tb 0.364 0.113 0.348
Pm 0.763 0.514 0.746
Dy 0.654 0.905 0.150
Dy 0.346 0.095 0.850
Dy 0.941 0.691 0.433
Dy 0.937 0.688 0.974
Dy 0.059 0.309 0.567

***

(2)
A plane-wave DFT calculation with GGA-PBE was carried out for a relaxed structure of Tb3Pm3Dy.

Summary:
The total energy is -4.658 eV per atom. The relative energy among the computed polymorphs comes out at 0 kJ/mol of formula units.

Cell lengths 5.766, 9.652, 9.653 Å; angles 120.01, 90.00, 90.00 degrees
Fractional positions:
Pm 0.750 0.048 0.241
Pm 0.750 0.759 0.807
Tb 0.250 0.095 0.478
Tb 0.250 0.383 0.905
Dy 0.750 0.333 0.667
Pm 0.250 0.807 0.048
Pm 0.750 0.193 0.952
Dy 0.250 0.667 0.333
Tb 0.250 0.522 0.617
Tb 0.750 0.478 0.383
Pm 0.250 0.952 0.759
Pm 0.250 0.241 0.193
Tb 0.750 0.905 0.522
Tb 0.750 0.617 0.095

***

(3)
A plane-wave DFT calculation with GGA-PBE was carried out for a relaxed structure of TbPm6Dy8.

Summary:
The total energy is -4.482 eV per atom.

Cell lengths 6.501, 9.410, 9.410 Å; angles 120.00, 90.00, 90.00 degrees
Fractional positions:
Dy 0.338 0.907 0.560
Pm 0.833 0.285 0.251
Pm 0.167 0.034 0.285
Dy 0.662 0.560 0.653
Pm 0.833 0.966 0.715
Dy 0.124 0.333 0.667
Pm 0.167 0.715 0.749
Pm 0.833 0.749 0.034
Dy 0.876 0.667 0.333
Tb 0.500 0.000 0.000
Dy 0.662 0.347 0.907
Pm 0.167 0.251 0.966
Dy 0.662 0.093 0.440
Dy 0.338 0.440 0.347
Dy 0.338 0.653 0.093

***

(4)
A plane-wave DFT calculation with GGA-PBE was carried out for a relaxed structure of Tb5PmDy7.

Summary:
The total energy is -4.376 eV per atom.

Cell lengths 6.674, 8.694, 8.694 Å; angles 79.52, 67.43, 67.43 degrees
Fractional positions:
Tb 0.001 0.003 0.461
Dy 0.019 0.650 0.312
Tb 0.535 0.461 0.003
Dy 0.019 0.312 0.650
Tb 0.001 0.461 0.003
Dy 0.519 0.812 0.150
Dy 0.576 0.424 0.424
Dy 0.519 0.150 0.812
Tb 0.535 0.003 0.461
Dy 0.268 0.232 0.232
Dy 0.271 0.729 0.729
Tb 0.771 0.729 0.729
Pm 0.967 0.033 0.033

***

(5)
A plane-wave DFT calculation with GGA-PBE was carried out for a relaxed structure of TbPmDy6.

Summary:
The total energy is -4.421 eV per atom. The relative energy among the computed polymorphs comes out at 141 kJ/mol of formula units.

Cell lengths 6.708, 6.525, 7.050 Å; angles 74.66, 61.20, 90.00 degrees
Fractional positions:
Dy 0.540 0.749 0.001
Dy 0.095 0.769 0.478
Dy 0.460 0.251 0.999
Dy 0.905 0.231 0.522
Tb 0.000 0.500 0.000
Pm 0.000 0.000 0.000
Dy 0.431 0.271 0.473
Dy 0.569 0.729 0.527

***

(6)
A plane-wave DFT calculation with GGA-PBE was carried out for a relaxed structure of TbPmDy2.

Summary:
The total energy is -4.631 eV per atom. The relative energy among the computed polymorphs comes out at 1 kJ/mol of formula units.

Cell lengths 3.573, 3.573, 11.823 Å; angles 81.31, 81.31, 60.00 degrees
Fractional positions:
Dy 0.249 0.249 0.252
Dy 0.751 0.751 0.748
Pm 0.000 0.000 0.000
Tb 0.500 0.500 0.500